Record 1
# TmHfRh2 GGA-PBE relaxed
# - magnetization (μB per atom) = 0.000
# - ΔE to the lowest computed polymorph (eV/f.u.) = 0.16
data_TmHfRh2
_chemical_formula_sum 'Tm1 Hf1 Rh2'
_symmetry_space_group_name_H-M 'P 1'
_symmetry_Int_Tables_number 1
_cell_length_a 4.697
_cell_length_b 4.697
_cell_length_c 4.697
_cell_angle_alpha 60.00
_cell_angle_beta 60.00
_cell_angle_gamma 60.00
loop_
_symmetry_equiv_pos_as_xyz
'x,y,z'
loop_
_atom_site_label
_atom_site_fract_x
_atom_site_fract_y
_atom_site_fract_z
Rh1 0.750 0.750 0.750
Tm1 0.000 0.000 0.000
Rh2 0.250 0.250 0.250
Hf1 0.500 0.500 0.500

---

Record 2
# TmHfRh4 GGA-PBE relaxed
# - magnetization (μB per atom) = 0.000
# - ΔE to the lowest computed polymorph (eV/f.u.) = 0.76
data_TmHfRh4
_chemical_formula_sum 'Tm1 Hf1 Rh4'
_symmetry_space_group_name_H-M 'P 1'
_symmetry_Int_Tables_number 1
_cell_length_a 3.239
_cell_length_b 5.312
_cell_length_c 7.050
_cell_angle_alpha 107.86
_cell_angle_beta 76.72
_cell_angle_gamma 72.25
loop_
_symmetry_equiv_pos_as_xyz
'x,y,z'
loop_
_atom_site_label
_atom_site_fract_x
_atom_site_fract_y
_atom_site_fract_z
Rh1 0.698 0.956 0.648
Rh2 0.857 0.475 0.811
Tm1 0.000 0.000 0.000
Hf1 0.500 0.500 0.500
Rh3 0.302 0.044 0.352
Rh4 0.143 0.525 0.189

---

Record 3
# Tm4HfRh5 GGA-PBE relaxed
# - electronic total energy (eV per atom) = -7.42
# - magnetization (μB per atom) = 0.000
data_Tm4HfRh5
_chemical_formula_sum 'Tm4 Hf1 Rh5'
_symmetry_space_group_name_H-M 'P 1'
_symmetry_Int_Tables_number 1
_cell_length_a 3.324
_cell_length_b 3.324
_cell_length_c 17.145
_cell_angle_alpha 90.00
_cell_angle_beta 90.00
_cell_angle_gamma 90.00
loop_
_symmetry_equiv_pos_as_xyz
'x,y,z'
loop_
_atom_site_label
_atom_site_fract_x
_atom_site_fract_y
_atom_site_fract_z
Tm1 0.000 0.000 0.601
Rh1 0.500 0.500 0.910
Rh2 0.500 0.500 0.500
Rh3 0.500 0.500 0.297
Rh4 0.500 0.500 0.703
Tm2 0.000 0.000 0.399
Rh5 0.500 0.500 0.090
Tm3 0.000 0.000 0.803
Tm4 0.000 0.000 0.197
Hf1 0.000 0.000 0.000